Computed, not measured: LiPb3 at its PBEsol-relaxed geometry at the SCAN level of DFT.

```
LiPb3
1.0
-2.367 2.367 4.837
2.367 -2.367 4.837
2.367 2.367 -4.837
Li Pb
1 3
Direct
0.000 0.000 0.000
0.250 0.750 0.500
0.500 0.500 0.000
0.750 0.250 0.500
```

Properties
* calculated volume: 108 Å³/f.u.
* formation enthalpy at 0 K: -0.1698 eV/atom
* total moment: 0.00 μB per atom
* density: 9.6 g/cm3
* symmetry: I4/mmm, No. 139

***

Computed, not measured: TcSe2Cl at its PBEsol-relaxed geometry at the SCAN level of DFT.

```
TcSe2Cl
1.0
3.294 0.000 0.000
0.000 3.294 0.000
0.000 0.000 7.006
Tc Se Cl
1 2 1
Direct
0.000 0.000 0.000
0.000 0.000 0.635
0.500 0.500 0.851
0.500 0.500 0.258
```

Properties
* calculated volume: 76 Å³/f.u.
* total moment: 0.00 μB per atom
* density: 6.4 g/cm3
* E above lowest polymorph: 0.000 eV/f.u.
* energy relative to the elements, uncorrected: 109 kJ/mol of formula units
* symmetry: P4mm, No. 99

***

Computed, not measured: KTl2Sb at its PBEsol-relaxed geometry at the SCAN level of DFT.

```
KTl2Sb
1.0
0.000 3.945 3.945
3.945 0.000 3.945
3.945 3.945 0.000
K Tl Sb
1 2 1
Direct
0.000 0.000 0.000
0.250 0.250 0.250
0.500 0.500 0.500
0.750 0.750 0.750
```

Properties
* calculated volume: 123 Å³/f.u.
* total moment: 0.00 μB per atom
* density: 7.7 g/cm3
* energy relative to the elements, uncorrected: -54 kJ/mol of formula units
* symmetry: F-43m, No. 216

***

Computed, not measured: ScTaPdPt2 at its PBEsol-relaxed geometry at the SCAN level of DFT.

```
ScTaPdPt2
1.0
4.870 0.000 0.000
0.000 4.870 0.000
0.000 0.000 4.499
Sc Ta Pd Pt
1 1 1 2
Direct
0.000 0.000 0.000
0.500 0.500 0.000
0.500 0.500 0.500
0.000 0.500 0.500
0.500 0.000 0.500
```

Properties
* calculated volume: 107 Å³/f.u.
* formation enthalpy at 0 K: 0.7302 eV/atom
* total moment: 0.28 μB per atom
* density: 11.2 g/cm3
* symmetry: P4/mmm, No. 123

***

Computed, not measured: Ba2LiSb2 at its PBEsol-relaxed geometry at the SCAN level of DFT.

```
Ba2LiSb2
1.0
-2.251 2.251 10.074
2.251 -2.251 10.074
2.251 2.251 -10.074
Ba Li Sb
2 1 2
Direct
0.119 0.119 0.000
0.881 0.881 0.000
0.500 0.500 0.000
0.250 0.750 0.500
0.750 0.250 0.500
```

Properties
* calculated volume: 204 Å³/f.u.
* total moment: 0.06 μB per atom
* density: 4.3 g/cm3
* energy relative to the elements, uncorrected: -195 kJ/mol of formula units
* symmetry: I4/mmm, No. 139

***

Computed, not measured: RbCaCdIr2 at its PBEsol-relaxed geometry at the SCAN level of DFT.

```
RbCaCdIr2
1.0
5.034 0.000 0.000
0.000 5.034 0.000
0.000 0.000 5.319
Rb Ca Cd Ir
1 1 1 2
Direct
0.000 0.000 0.000
0.500 0.500 0.000
0.500 0.500 0.500
0.000 0.500 0.500
0.500 0.000 0.500
```

Properties
* calculated volume: 135 Å³/f.u.
* formation enthalpy at 0 K: 1.0940 eV/atom
* total moment: 0.00 μB per atom
* density: 7.7 g/cm3
* symmetry: P4/mmm, No. 123